The following is a DFT calculation (PBE-GGA) of a geometry-optimized SmDy3Tm3Se8 structure. Values from VASP.

Values from the calculation:
Its calculated volume is 372.8 Å³/cell. The space group is R-3m. As for the uncorrected formation energy: -1802.6 meV/atom.

Structure (Quantum ESPRESSO input):
```
&SYSTEM
  ibrav = 0, nat = 15, ntyp = 4
/
ATOMIC_SPECIES
Sm 150.36 Sm.upf
Dy 162.50 Dy.upf
Tm 168.93 Tm.upf
Se 78.96 Se.upf
CELL_PARAMETERS angstrom
-0.2371 1.1790 7.9871
2.0637 -7.2279 -2.9558
5.0376 6.2690 -0.7759
ATOMIC_POSITIONS crystal
Sm 0.0000 0.0000 0.5000
Dy 0.0000 0.0000 0.0000
Dy 0.0000 0.5000 0.0000
Dy 0.5000 0.5000 0.0000
Tm 0.5000 0.0000 0.5000
Tm 0.5000 0.5000 0.5000
Tm 0.0000 0.5000 0.5000
Se 0.2517 0.5034 0.2551
Se 0.7483 0.4966 0.7449
Se 0.7411 0.4823 0.2446
Se 0.2589 0.5177 0.7554
Se 0.7411 0.0035 0.2446
Se 0.2589 0.9965 0.7554
Se 0.2624 0.0035 0.2446
Se 0.7376 0.9965 0.7554
```



The following is a DFT calculation (PBE-GGA) of a geometry-optimized SmDy3Y2Se6 structure. Values from VASP.

Values from the calculation:
Its calculated volume is 291.2 Å³/cell. The space group is C2/m. As for the uncorrected formation energy: -1767.5 meV/atom.

Structure (Quantum ESPRESSO input):
```
&SYSTEM
  ibrav = 0, nat = 12, ntyp = 4
/
ATOMIC_SPECIES
Sm 150.36 Sm.upf
Dy 162.50 Dy.upf
Y 88.91 Y.upf
Se 78.96 Se.upf
CELL_PARAMETERS angstrom
-3.9950 3.9226 4.3562
-1.8022 -6.7079 -1.4421
5.5778 -1.1668 4.2487
ATOMIC_POSITIONS crystal
Sm 0.0000 0.0000 0.0000
Dy 0.1631 0.8369 0.5000
Dy 0.8369 0.1631 0.5000
Dy 0.5000 0.5000 0.5000
Y 0.3340 0.6660 0.0000
Y 0.6660 0.3340 0.0000
Se 0.9153 0.5765 0.7454
Se 0.7456 0.7456 0.2520
Se 0.0847 0.4235 0.2546
Se 0.5765 0.9153 0.7454
Se 0.2544 0.2544 0.7480
Se 0.4235 0.0847 0.2546
```



The following is a DFT calculation (PBE-GGA) of a geometry-optimized Sm2Dy3YSe6 structure. Values from VASP.

Values from the calculation:
Its calculated volume is 294.5 Å³/cell. The space group is C2/m. As for the uncorrected formation energy: -1775.2 meV/atom.

Structure (Quantum ESPRESSO input):
```
&SYSTEM
  ibrav = 0, nat = 12, ntyp = 4
/
ATOMIC_SPECIES
Sm 150.36 Sm.upf
Dy 162.50 Dy.upf
Y 88.91 Y.upf
Se 78.96 Se.upf
CELL_PARAMETERS angstrom
4.0920 0.0000 0.0000
0.0000 8.2622 0.2699
-2.0460 -2.4079 8.6329
ATOMIC_POSITIONS crystal
Sm 0.8320 0.6643 0.6640
Sm 0.1680 0.3357 0.3360
Dy 0.5000 0.5000 0.0000
Dy 0.8313 0.1670 0.6627
Dy 0.1687 0.8330 0.3373
Y 0.5000 0.0000 0.0000
Se 0.3341 0.9232 0.6682
Se 0.6639 0.5885 0.3278
Se 0.6659 0.0768 0.3318
Se 0.9977 0.2494 0.9954
Se 0.0023 0.7506 0.0046
Se 0.3361 0.4115 0.6722
```



The following is a DFT calculation (PBE-GGA) of a geometry-optimized Sm2DyY3Se6 structure. Values from VASP.

Values from the calculation:
Its calculated volume is 295.3 Å³/cell. The space group is C2/m. As for the uncorrected formation energy: -1780.4 meV/atom.

Structure (Quantum ESPRESSO input):
```
&SYSTEM
  ibrav = 0, nat = 12, ntyp = 4
/
ATOMIC_SPECIES
Sm 150.36 Sm.upf
Dy 162.50 Dy.upf
Y 88.91 Y.upf
Se 78.96 Se.upf
CELL_PARAMETERS angstrom
-2.5155 1.3901 2.9211
-3.0632 -7.6175 0.9870
8.1050 -0.4395 4.3143
ATOMIC_POSITIONS crystal
Sm 0.8320 0.6645 0.6640
Sm 0.1680 0.3355 0.3360
Dy 0.5000 0.0000 0.0000
Y 0.5000 0.5000 0.0000
Y 0.8309 0.1671 0.6619
Y 0.1691 0.8329 0.3381
Se 0.3348 0.9229 0.6697
Se 0.6641 0.5876 0.3283
Se 0.6652 0.0771 0.3303
Se 0.9978 0.2477 0.9955
Se 0.0022 0.7523 0.0045
Se 0.3359 0.4124 0.6717
```



The following is a DFT calculation (PBE-GGA) of a geometry-optimized SmDyY2Se6 structure. Values from VASP.

Values from the calculation:
Its calculated volume is 296.6 Å³/cell. The space group is R3. As for the uncorrected formation energy: -1856.4 meV/atom.

Structure (Quantum ESPRESSO input):
```
&SYSTEM
  ibrav = 0, nat = 10, ntyp = 4
/
ATOMIC_SPECIES
Sm 150.36 Sm.upf
Dy 162.50 Dy.upf
Y 88.91 Y.upf
Se 78.96 Se.upf
CELL_PARAMETERS angstrom
-5.3932 -4.3189 -2.2112
-3.1024 -4.6085 4.6655
-7.1652 1.5965 2.4543
ATOMIC_POSITIONS crystal
Sm 0.8155 0.8155 0.5535
Dy 0.3181 0.3180 0.0457
Y 0.5150 0.5149 0.4553
Y 0.0131 0.0132 0.9606
Se 0.6107 0.2240 0.2492
Se 0.2240 0.9160 0.2492
Se 0.9161 0.6108 0.2492
Se 0.4069 0.7222 0.7508
Se 0.7222 0.1200 0.7508
Se 0.1200 0.4070 0.7508
```



The following is a DFT calculation (PBE-GGA) of a geometry-optimized Sm3Dy2YSe6 structure. Values from VASP.

Values from the calculation:
Its calculated volume is 297.9 Å³/cell. The space group is C2/m. As for the uncorrected formation energy: -1789.7 meV/atom.

Structure (Quantum ESPRESSO input):
```
&SYSTEM
  ibrav = 0, nat = 12, ntyp = 4
/
ATOMIC_SPECIES
Sm 150.36 Sm.upf
Dy 162.50 Dy.upf
Y 88.91 Y.upf
Se 78.96 Se.upf
CELL_PARAMETERS angstrom
7.1312 -0.0203 -0.0034
-3.5815 6.1666 -0.0034
-1.1874 -2.0559 6.7870
ATOMIC_POSITIONS crystal
Sm 0.1662 0.8338 0.5000
Sm 0.8338 0.1662 0.5000
Sm 0.5000 0.5000 0.5000
Dy 0.3335 0.6665 0.0000
Dy 0.6665 0.3335 0.0000
Y 0.0000 0.0000 0.0000
Se 0.9197 0.5856 0.7587
Se 0.7463 0.7463 0.2411
Se 0.0803 0.4144 0.2413
Se 0.5856 0.9197 0.7587
Se 0.2537 0.2537 0.7589
Se 0.4144 0.0803 0.2413
```



The following is a DFT calculation (PBE-GGA) of a geometry-optimized Sm2DyYSe4 structure. Values from VASP.

Values from the calculation:
Its calculated volume is 198.8 Å³/cell. The space group is P2/m. As for the uncorrected formation energy: -1787.5 meV/atom.

Structure (Quantum ESPRESSO input):
```
&SYSTEM
  ibrav = 0, nat = 8, ntyp = 4
/
ATOMIC_SPECIES
Sm 150.36 Sm.upf
Dy 162.50 Dy.upf
Y 88.91 Y.upf
Se 78.96 Se.upf
CELL_PARAMETERS angstrom
4.0742 0.0000 0.0000
0.0000 7.2282 -0.2005
0.0000 2.4884 6.6813
ATOMIC_POSITIONS crystal
Sm 0.0000 0.0000 0.0000
Sm 0.5000 0.0000 0.5000
Dy 0.0000 0.5000 0.5000
Y 0.5000 0.5000 0.0000
Se 0.0000 0.7414 0.7524
Se 0.0000 0.2586 0.2476
Se 0.5000 0.7410 0.2536
Se 0.5000 0.2590 0.7464
```



The following is a DFT calculation (PBE-GGA) of a geometry-optimized Dy3Sn2Se structure. Values from VASP.

Values from the calculation:
Its calculated volume is 167.3 Å³/cell. The space group is Immm. As for the uncorrected formation energy: -1013.9 meV/atom.

Structure (Quantum ESPRESSO input):
```
&SYSTEM
  ibrav = 0, nat = 6, ntyp = 3
/
ATOMIC_SPECIES
Dy 162.50 Dy.upf
Sn 118.71 Sn.upf
Se 78.96 Se.upf
CELL_PARAMETERS angstrom
3.8328 -0.1187 -0.9955
-0.4926 5.5431 -2.5575
-0.0172 0.2126 7.7973
ATOMIC_POSITIONS crystal
Dy 0.5000 0.5000 0.0000
Dy 0.1554 0.1553 0.3105
Dy 0.8446 0.8447 0.6895
Sn 0.1689 0.6698 0.3397
Sn 0.8311 0.3302 0.6603
Se 0.5000 0.0000 0.0000
```



The following is a DFT calculation (PBE-GGA) of a geometry-optimized Dy3SnSe2 structure. Values from VASP.

Values from the calculation:
Its calculated volume is 156.8 Å³/cell. The space group is Immm. As for the uncorrected formation energy: -1432.9 meV/atom.

Structure (Quantum ESPRESSO input):
```
&SYSTEM
  ibrav = 0, nat = 6, ntyp = 3
/
ATOMIC_SPECIES
Dy 162.50 Dy.upf
Sn 118.71 Sn.upf
Se 78.96 Se.upf
CELL_PARAMETERS angstrom
-3.5243 -2.1457 -0.8288
0.5993 -2.9615 5.1191
-1.9070 6.9497 0.7925
ATOMIC_POSITIONS crystal
Dy 0.5000 0.5000 0.0000
Dy 0.1714 0.1713 0.3427
Dy 0.8286 0.8287 0.6573
Sn 0.5000 0.0000 0.0000
Se 0.1656 0.6653 0.3306
Se 0.8344 0.3347 0.6694
```



The following is a DFT calculation (PBE-GGA) of a geometry-optimized Dy7SnSe5 structure. Values from VASP.

Values from the calculation:
Its calculated volume is 661.8 Å³/cell. The space group is Cmcm. As for the uncorrected formation energy: -1486.2 meV/atom.

Structure (Quantum ESPRESSO input):
```
&SYSTEM
  ibrav = 0, nat = 26, ntyp = 3
/
ATOMIC_SPECIES
Dy 162.50 Dy.upf
Sn 118.71 Sn.upf
Se 78.96 Se.upf
CELL_PARAMETERS angstrom
4.1252 0.0000 0.0000
-2.0626 6.6472 0.0087
0.0000 -0.0285 24.1339
ATOMIC_POSITIONS crystal
Dy 0.4753 0.9506 0.2500
Dy 0.5253 0.0505 0.7500
Dy 0.6385 0.2770 0.0364
Dy 0.3620 0.7241 0.9636
Dy 0.3620 0.7240 0.5364
Dy 0.6386 0.2771 0.4636
Dy 0.1832 0.3663 0.1780
Dy 0.8174 0.6348 0.8220
Dy 0.8173 0.6345 0.6780
Dy 0.1833 0.3666 0.3220
Dy 0.9034 0.8068 0.1172
Dy 0.0972 0.1943 0.8828
Dy 0.0971 0.1941 0.6172
Dy 0.9035 0.8070 0.3828
Sn 0.8054 0.6107 0.2500
Sn 0.1952 0.3904 0.7500
Se 0.0003 0.0006 0.0000
Se 0.7259 0.4518 0.9284
Se 0.2746 0.5493 0.0716
Se 0.5471 0.0943 0.3590
Se 0.4534 0.9069 0.6410
Se 0.0003 0.0006 0.5000
Se 0.2747 0.5495 0.4284
Se 0.7259 0.4517 0.5717
Se 0.4535 0.9071 0.8590
Se 0.5470 0.0940 0.1410
```



The following is a DFT calculation (PBE-GGA) of a geometry-optimized Dy3SnSe6 structure. Values from VASP.

Values from the calculation:
Its calculated volume is 550.5 Å³/cell. The space group is Cmc2_1. As for the uncorrected formation energy: -1436.1 meV/atom.

Structure (Quantum ESPRESSO input):
```
&SYSTEM
  ibrav = 0, nat = 20, ntyp = 3
/
ATOMIC_SPECIES
Dy 162.50 Dy.upf
Sn 118.71 Sn.upf
Se 78.96 Se.upf
CELL_PARAMETERS angstrom
-0.9328 -6.8947 0.9187
5.2574 -1.6541 -7.0754
5.8268 0.1200 6.8170
ATOMIC_POSITIONS crystal
Dy 0.4812 0.9112 0.7165
Dy 0.9812 0.7165 0.9112
Dy 0.3884 0.4060 0.5940
Dy 0.8884 0.5940 0.4060
Dy 0.9812 0.0888 0.2835
Dy 0.4812 0.2835 0.0888
Sn 0.0118 0.2001 0.7999
Sn 0.5118 0.7999 0.2001
Se 0.1825 0.6965 0.6287
Se 0.6825 0.6287 0.6965
Se 0.2227 0.4513 0.9049
Se 0.7227 0.9049 0.4513
Se 0.1970 0.0271 0.9729
Se 0.6154 0.2221 0.7779
Se 0.1154 0.7779 0.2221
Se 0.6970 0.9729 0.0271
Se 0.2227 0.0951 0.5487
Se 0.7227 0.5487 0.0951
Se 0.1825 0.3713 0.3035
Se 0.6825 0.3035 0.3713
```



The following is a DFT calculation (PBE-GGA) of a geometry-optimized Dy6SnSe4 structure. Values from VASP.

Values from the calculation:
Its calculated volume is 565.0 Å³/cell. The space group is Cmcm. As for the uncorrected formation energy: -1430.5 meV/atom.

Structure (Quantum ESPRESSO input):
```
&SYSTEM
  ibrav = 0, nat = 22, ntyp = 3
/
ATOMIC_SPECIES
Dy 162.50 Dy.upf
Sn 118.71 Sn.upf
Se 78.96 Se.upf
CELL_PARAMETERS angstrom
-0.2805 3.0744 2.7608
-1.9424 -5.8244 3.1822
19.5700 -3.3823 5.7552
ATOMIC_POSITIONS crystal
Dy 0.5000 0.0000 0.0000
Dy 0.5000 0.0000 0.5000
Dy 0.0498 0.0996 0.3359
Dy 0.9502 0.9004 0.6641
Dy 0.9502 0.9004 0.8359
Dy 0.0498 0.0996 0.1641
Dy 0.7685 0.5370 0.4046
Dy 0.2315 0.4630 0.5954
Dy 0.2315 0.4630 0.9046
Dy 0.7685 0.5370 0.0954
Dy 0.3399 0.6798 0.2500
Dy 0.6601 0.3202 0.7500
Sn 0.6683 0.3367 0.2500
Sn 0.3317 0.6633 0.7500
Se 0.8584 0.7169 0.5369
Se 0.4119 0.8237 0.1233
Se 0.1416 0.2831 0.4631
Se 0.5881 0.1763 0.8767
Se 0.8584 0.7169 0.9631
Se 0.1416 0.2831 0.0369
Se 0.5881 0.1763 0.6233
Se 0.4119 0.8237 0.3767
```



Number 1: E -5.790 eV/atom. Number 2: E -6.131 eV/atom. Number 3: E -5.993 eV/atom. Number 4: E -6.309 eV/atom. Number 5: E -6.172 eV/atom. Number 6: E -6.017 eV/atom. Number 7: E -6.093 eV/atom. Number 8: E -5.230 eV/atom. Number 9: E -5.563 eV/atom. Number 10: E -5.612 eV/atom. Number 11: E -5.308 eV/atom. Number 12: E -5.572 eV/atom.